Computed, not measured: a relaxed CdCl5 crystal at the GGA-PBE level of DFT.

a b c (Å): 15.2709 3.7081 7.7272
angles (deg): 90.00 100.79 90.00
Last column: nearest neighbours and their distance in Å.
Space group Cm (No. 8)
Unique sites:
Cd 0.0000 0.0000 0.0000 (multiplicity 2)  5 Cl 2.57-2.61
Cl 0.1630 0.0000 0.9516 (multiplicity 2)  1 Cd 2.59
Cl 0.2500 0.5000 0.2251 (multiplicity 2)  1 Cl 2.00
Cl 0.3256 0.5000 0.4661 (multiplicity 2)  1 Cl 2.00
Cl 0.4338 0.0000 0.7747 (multiplicity 2)  2 Cd 2.61
Cl 0.4969 0.0000 0.2282 (multiplicity 2)  2 Cd 2.57

Output
* E above lowest polymorph: 0 meV/atom
* energy relative to the elements, uncorrected: -0.364 eV per atom

=====

Computed, not measured: a relaxed HfMgZr5 crystal at the GGA-PBE level of DFT.

a b c (Å): 4.3899 4.3899 8.7842
angles (deg): 90.00 90.00 90.00
Last column: nearest neighbours and their distance in Å.
Space group P4/mmm (No. 123)
Unique sites:
Hf 0.0000 0.0000 0.0000 (multiplicity 1)  8 Zr 3.04
Mg 0.0000 0.0000 0.5000 (multiplicity 1)  12 Zr 3.10-3.17
Zr 0.0000 0.5000 0.2400 (multiplicity 4)  2 Hf 3.04, 6 Zr 3.10-3.17, 2 Mg 3.17
Zr 0.5000 0.5000 0.5000 (multiplicity 1)  4 Mg 3.10, 8 Zr 3.17

Output
* energy of formation from the pure elements: 2.4 eV/f.u.

=====

Computed, not measured: a relaxed ReTeP2 crystal at the GGA-PBE level of DFT.

a b c (Å): 2.9653 3.1077 18.4290
angles (deg): 90.00 90.00 90.00
Last column: nearest neighbours and their distance in Å.
Space group Imm2 (No. 44)
Unique sites:
Re 0.0000 0.0000 0.0000 (multiplicity 2)  6 P 2.37-2.45
Te 0.0000 0.5000 0.7273 (multiplicity 2)  4 Te 2.97-3.11
P 0.0000 0.0000 0.5644 (multiplicity 2)  4 Re 2.45
P 0.0000 0.5000 0.4000 (multiplicity 2)  2 Re 2.37

Output
* energy relative to the elements, uncorrected: 0.177 eV per atom

=====

Computed, not measured: a relaxed NaZrSbS2 crystal at the GGA-PBE level of DFT.

a b c (Å): 5.3238 5.3238 5.4809
angles (deg): 90.00 90.00 90.00
Last column: nearest neighbours and their distance in Å.
Space group P4/mmm (No. 123)
Unique sites:
Na 0.0000 0.0000 0.0000 (multiplicity 1)  4 Zr 3.76, 8 S 3.82
Zr 0.5000 0.5000 0.0000 (multiplicity 1)  2 Sb 2.74
Sb 0.5000 0.5000 0.5000 (multiplicity 1)  4 S 2.66, 2 Zr 2.74
S 0.0000 0.5000 0.5000 (multiplicity 2)  2 Sb 2.66

Output
* energy relative to the elements, uncorrected: 0.432 eV per atom

=====

Computed, not measured: a relaxed Nd3IrBr3 crystal at the GGA-PBE level of DFT.

a b c (Å): 9.0075 4.1921 12.2456
angles (deg): 90.00 92.16 90.00
Last column: nearest neighbours and their distance in Å.
Space group P2_1/m (No. 11)
Unique sites:
Nd 0.1092 0.2500 0.3818 (multiplicity 2)  3 Ir 2.87-2.93
Nd 0.1204 0.2500 0.8446 (multiplicity 2)  1 Ir 2.74, 2 Br 3.03
Nd 0.3183 0.7500 0.6197 (multiplicity 2)  2 Ir 2.82, 2 Br 3.08-3.13
Ir 0.1082 0.2500 0.6208 (multiplicity 2)  6 Nd 2.74-2.93
Br 0.1197 0.2500 0.1115 (multiplicity 2)  4 Nd 3.07-3.31
Br 0.3617 0.7500 0.8701 (multiplicity 2)  3 Nd 3.03-3.08
Br 0.3953 0.7500 0.3725 (multiplicity 2)  5 Nd 3.13-3.33

Output
* energy relative to the elements, uncorrected: -1.373 eV per atom

=====

Computed, not measured: a relaxed HfTh2Hg crystal at the GGA-PBE level of DFT.

a b c (Å): 3.3903 3.3903 9.7092
angles (deg): 90.00 90.00 90.00
Last column: nearest neighbours and their distance in Å.
Space group P4/mmm (No. 123)
Unique sites:
Hf 0.0000 0.0000 0.0000 (multiplicity 1)  8 Th 3.38, 4 Hf 3.39
Th 0.5000 0.5000 0.2453 (multiplicity 2)  4 Hf 3.38, 4 Th 3.39, 4 Hg 3.44
Hg 0.0000 0.0000 0.5000 (multiplicity 1)  4 Hg 3.39, 8 Th 3.44

Output
* energy of formation from the pure elements: -0.1 eV/f.u.
* E above lowest polymorph: 0 meV/atom

=====

Computed, not measured: a relaxed Hf2Sc2Ir crystal at the GGA-PBE level of DFT.

a b c (Å): 6.7380 6.7380 4.9149
angles (deg): 90.00 90.00 90.00
Last column: nearest neighbours and their distance in Å.
Space group P4/mbm (No. 127)
Unique sites:
Hf 0.1512 0.3488 0.0000 (multiplicity 4)  2 Ir 2.56
Sc 0.1618 0.6619 0.5000 (multiplicity 4)  6 Hf 3.04-3.24, 1 Sc 3.08
Ir 0.0000 0.0000 0.0000 (multiplicity 2)  4 Hf 2.56

Output
* energy of formation from the pure elements: -1.1 eV/f.u.

=====

Computed, not measured: a relaxed BaTc2W crystal at the GGA-PBE level of DFT.

a b c (Å): 3.3237 4.8935 9.6315
angles (deg): 90.00 90.00 90.00
Last column: nearest neighbours and their distance in Å.
Space group Cmmm (No. 65)
Unique sites:
Ba 0.0000 0.0000 0.0000 (multiplicity 2)  4 Ba 2.96, 4 Tc 3.29
Tc 0.0000 0.5000 0.2953 (multiplicity 4)  2 W 2.58
W 0.0000 0.0000 0.5000 (multiplicity 2)  4 Tc 2.58

Output
* energy of formation from the pure elements: 3.3 eV/f.u.
* E above lowest polymorph: 237 meV/atom

=====

Computed, not measured: a relaxed Mg4Si3 crystal at the GGA-PBE level of DFT.

a b c (Å): 5.1458 6.7622 8.0529
angles (deg): 94.27 90.49 100.32
Last column: nearest neighbours and their distance in Å.
Space group P1 (No. 1)
Unique sites:
Mg 0.0000 0.0000 0.0000 (multiplicity 1)  4 Si 2.71-2.96, 2 Mg 2.94-2.97
Mg 0.0218 0.1796 0.3603 (multiplicity 1)  3 Si 2.69-2.86
Mg 0.1006 0.9040 0.6474 (multiplicity 1)  4 Si 2.76-2.90, 3 Mg 2.94-3.05
Mg 0.4919 0.6363 0.5717 (multiplicity 1)  5 Si 2.73-3.00, 2 Mg 2.98-3.04
Mg 0.5601 0.2345 0.1239 (multiplicity 1)  4 Si 2.77-2.93
Mg 0.6508 0.1619 0.6846 (multiplicity 1)  5 Si 2.73-2.92, 1 Mg 3.05
Mg 0.7819 0.5739 0.8882 (multiplicity 1)  4 Si 2.72-2.86, 2 Mg 2.97-3.04
Mg 0.9585 0.6942 0.2893 (multiplicity 1)  5 Si 2.72-2.93
Si 0.1169 0.4042 0.0725 (multiplicity 1)  2 Si 2.44-2.52, 2 Mg 2.71-2.72
Si 0.2006 0.3221 0.7800 (multiplicity 1)  2 Si 2.44-2.53
Si 0.4533 0.9731 0.3749 (multiplicity 1)  1 Si 2.46
Si 0.4729 0.8710 0.8987 (multiplicity 1)  1 Si 2.43
Si 0.4748 0.7029 0.1553 (multiplicity 1)  3 Si 2.43-2.52, 1 Mg 2.72
Si 0.9615 0.4935 0.5727 (multiplicity 1)  1 Si 2.53, 7 Mg 2.69-2.76

Output
* E above lowest polymorph: 72 meV/atom
* energy relative to the elements, uncorrected: 0.039 eV per atom

=====

Computed, not measured: a relaxed NbHgTe2 crystal at the GGA-PBE level of DFT.

a b c (Å): 6.8749 5.3542 11.8315
angles (deg): 90.00 107.25 90.00
Last column: nearest neighbours and their distance in Å.
Space group P2_1/c (No. 14)
Unique sites:
Nb 0.1789 0.1209 0.4774 (multiplicity 4)  5 Te 2.82-2.96, 1 Nb 2.97, 2 Hg 3.03-3.14
Hg 0.1341 0.1363 0.7397 (multiplicity 4)  3 Nb 3.03-3.21, 2 Hg 3.30, 2 Te 3.35-3.39
Te 0.2001 0.6348 0.5723 (multiplicity 4)  3 Nb 2.82-2.96, 1 Te 3.13
Te 0.4186 0.6415 0.8588 (multiplicity 4)  2 Nb 2.83-2.87

Output
* E above lowest polymorph: 256 meV/atom
* energy relative to the elements, uncorrected: -0.081 eV per atom

=====

Computed, not measured: a relaxed CsBe2Tl2O6 crystal at the GGA-PBE level of DFT.

a b c (Å): 5.8363 5.8395 7.3047
angles (deg): 111.16 112.16 90.27
Last column: nearest neighbours and their distance in Å.
Space group P-1 (No. 2)
Unique sites:
Cs 0.0000 0.0000 0.0000 (multiplicity 1)  4 O 3.01-3.32
Be 0.2717 0.2501 0.6689 (multiplicity 2)  3 O 1.51-1.57
Tl 0.2782 0.6734 0.5590 (multiplicity 2)  4 O 2.08-2.26
O 0.1068 0.4582 0.7138 (multiplicity 2)  1 Be 1.57
O 0.2953 0.0429 0.7496 (multiplicity 2)  1 Be 1.51
O 0.3908 0.3054 0.5265 (multiplicity 2)  1 Be 1.57

Output
* energy relative to the elements, uncorrected: -1.290 eV per atom

=====

Computed, not measured: a relaxed TeIr2Rh crystal at the GGA-PBE level of DFT.

a b c (Å): 6.4088 6.4088 6.4088
angles (deg): 90.00 90.00 90.00
Last column: nearest neighbours and their distance in Å.
Space group F-43m (No. 216)
Unique sites:
Te 0.0000 0.0000 0.0000 (multiplicity 4)  4 Ir 2.78, 4 Rh 2.78
Ir 0.0000 0.0000 0.5000 (multiplicity 4)  4 Ir 2.78, 4 Rh 2.78
Ir 0.2500 0.2500 0.2500 (multiplicity 4)  4 Te 2.78, 4 Ir 2.78
Rh 0.2500 0.2500 0.7500 (multiplicity 4)  4 Te 2.78, 4 Ir 2.78

Output
* energy relative to the elements, uncorrected: 0.461 eV per atom

=====

Spin magnetization list, top to bottom, in μB per cell: 1.63, 0.00, 0.00, 1.96, 0.00, 0.00, 0.00, 0.00, 0.00, 0.00, 1.08, 0.00